Entry 1:
Below is a geometry-optimized La5CdCo structure, with properties calculated at the GGA-PBE level.

Summary:
As for the total DFT energy (no corrections): -4.758 eV/atom. For the energy of formation from the pure elements, the calculation gives -0.093 eV per atom. Its energy relative to the lowest polymorph listed for this composition is 0 meV/atom.

Geometry as CIF:
```
data_La5CdCo
_symmetry_space_group_name_H-M 'C 1 2/c 1'
_symmetry_Int_Tables_number 15
_cell_length_a 10.699
_cell_length_b 7.287
_cell_length_c 12.020
_cell_angle_alpha 90.00
_cell_angle_beta 109.83
_cell_angle_gamma 90.00
loop_
_symmetry_equiv_pos_as_xyz
'x,y,z'
'-x,-y,-z'
'-x,y,-z+1/2'
'x,-y,z+1/2'
'x+1/2,y+1/2,z'
'-x+1/2,-y+1/2,-z'
'-x+1/2,y+1/2,-z+1/2'
'x+1/2,-y+1/2,z+1/2'
loop_
_atom_site_label
_atom_site_fract_x
_atom_site_fract_y
_atom_site_fract_z
La1 0.000 0.008 0.250
La2 0.121 0.310 0.552
La3 0.225 0.193 0.136
Cd1 0.000 0.457 0.250
Co1 0.000 0.000 0.000
```

=====

Entry 2:
Below is a geometry-optimized LaCdCo2 structure, with properties calculated at the GGA-PBE level.

Summary:
As for the total DFT energy (no corrections): -4.728 eV/atom. For the energy of formation from the pure elements, the calculation gives 0.286 eV per atom.

Geometry as CIF:
```
data_LaCdCo2
_symmetry_space_group_name_H-M 'I -4 m 2'
_symmetry_Int_Tables_number 119
_symmetry_space_group_name_Hall 'I -4 -2'
_cell_length_a 3.885
_cell_length_b 3.885
_cell_length_c 9.813
_cell_angle_alpha 90.00
_cell_angle_beta 90.00
_cell_angle_gamma 90.00
loop_
_atom_site_label
_atom_site_fract_x
_atom_site_fract_y
_atom_site_fract_z
La1 0.000 0.000 0.000
Cd1 0.000 0.500 0.750
Co1 0.000 0.000 0.500
Co2 0.000 0.500 0.250
```